This record from Alexandria describes a relaxed structure of K3Tm3SnTe8. The functional is PBE-GGA.

CIF file:
```
data_K3Tm3SnTe8
_chemical_formula_sum 'K6 Tm6 Sn2 Te16'
_cell_length_a 15.1771
_cell_length_b 8.7422
_cell_length_c 9.8509
_cell_angle_alpha 90.00
_cell_angle_beta 120.95
_cell_angle_gamma 90.00
_space_group_name_H-M_alt 'C 1 2/m 1'
_space_group_IT_number 12
loop_
_space_group_symop_operation_xyz
'x,y,z'
'-x,-y,-z'
'-x,y,-z'
'x,-y,z'
'x+1/2,y+1/2,z'
'-x+1/2,-y+1/2,-z'
'-x+1/2,y+1/2,-z'
'x+1/2,-y+1/2,z'
loop_
_atom_site_label
_atom_site_fract_x
_atom_site_fract_y
_atom_site_fract_z
K1 0.0000 0.0000 0.0000
K2 0.2500 0.2500 0.0000
Tm1 0.0000 0.5000 0.5000
Tm2 0.2500 0.2500 0.5000
Sn1 0.0000 0.0000 0.5000
Te1 0.0154 0.2491 0.2971
Te2 0.2339 0.0000 0.7030
Te3 0.2354 0.5000 0.7062
```



This record from Alexandria describes a relaxed structure of Ac2DyBr. The functional is PBE-GGA.

CIF file:
```
data_Ac2DyBr
_chemical_formula_sum 'Ac6 Dy3 Br3'
_cell_length_a 3.9201
_cell_length_b 3.9201
_cell_length_c 33.7395
_cell_angle_alpha 90.00
_cell_angle_beta 90.00
_cell_angle_gamma 120.00
_space_group_name_H-M_alt 'R -3 m'
_space_group_IT_number 166
_space_group_name_Hall '-R 3 2"'
loop_
_atom_site_label
_atom_site_fract_x
_atom_site_fract_y
_atom_site_fract_z
Ac1 0.0000 0.0000 0.2440
Dy1 0.0000 0.0000 0.0000
Br1 0.0000 0.0000 0.5000
```



no.,formation energy (no corrections) (meV/atom)
1,-1095.2
2,-519.4